[1]
Tl4SnHg7 after structural relaxation. Source: Alexandria, functional GGA-PBE.

abc: 12.3593 5.8379 11.4895
angles: 90.00 119.71 90.00
Closest atoms and distances in Å follow each position.
Space group C2/m (No. 12)
Asymmetric unit:
Tl: 0.0731 0.0000 0.2681 [4 per cell]  8 Hg 3.17-3.42
Tl: 0.2428 0.5000 0.1736 [4 per cell]  6 Hg 3.17-3.51
Sn: 0.0000 0.5000 0.5000 [2 per cell]  4 Hg 2.92-3.06
Hg: 0.0000 0.0000 0.5000 [2 per cell]  2 Sn 2.92, 2 Tl 3.21
Hg: 0.0711 0.5000 0.8246 [4 per cell]  2 Hg 3.07-3.24, 2 Tl 3.31, 1 Sn 3.38
Hg: 0.1431 0.0000 0.0377 [4 per cell]  2 Hg 3.07-3.20, 5 Tl 3.17-3.36
Hg: 0.2085 0.5000 0.4294 [4 per cell]  1 Sn 3.06, 4 Tl 3.17-3.42, 4 Hg 3.24-3.28

energy of formation	4	kJ per mole of atoms

=====

[2]
NaHfTl after structural relaxation. Source: Alexandria, functional GGA-PBE.

abc: 13.0089 3.2261 7.6487
angles: 90.00 111.45 90.00
Closest atoms and distances in Å follow each position.
Space group C2/m (No. 12)
Asymmetric unit:
Na: 0.1678 0.0000 0.3290 [4 per cell]  4 Tl 3.11-3.34, 4 Na 3.15-3.23
Hf: 0.1580 0.0000 0.8621 [4 per cell]  4 Hf 3.01-3.23, 4 Tl 3.09-3.21
Tl: 0.0000 0.5000 0.0000 [2 per cell]  4 Hf 3.09, 4 Na 3.11, 2 Tl 3.23
Tl: 0.0000 0.5000 0.5000 [2 per cell]  4 Hf 3.21, 2 Tl 3.23, 4 Na 3.34

energy of formation	17	kJ per mole of atoms

=====

[3]
CaTlHOs2 after structural relaxation. Source: Alexandria, functional GGA-PBE.

abc: 5.2853 5.2853 3.3157
angles: 90.00 90.00 90.00
Closest atoms and distances in Å follow each position.
Space group P4/mmm (No. 123)
Asymmetric unit:
Ca: 0.0000 0.0000 0.0000 [1 per cell]  2 H 1.66
Tl: 0.5000 0.5000 0.5000 [1 per cell]  8 Os 3.12, 2 Tl 3.32
H: 0.0000 0.0000 0.5000 [1 per cell]  2 Ca 1.66
Os: 0.0000 0.5000 0.0000 [2 per cell]  2 Ca 2.64

raw total energy	-4.05	eV/atom

=====

[4]
TlCdGaHg2 after structural relaxation. Source: Alexandria, functional GGA-PBE.

abc: 5.3107 5.3107 5.3520
angles: 90.00 90.00 90.00
Closest atoms and distances in Å follow each position.
Space group P4/mmm (No. 123)
Asymmetric unit:
Tl: 0.0000 0.0000 0.0000 [1 per cell]  4 Cd 3.76, 8 Hg 3.77
Cd: 0.5000 0.5000 0.0000 [1 per cell]  2 Ga 2.68
Ga: 0.5000 0.5000 0.5000 [1 per cell]  4 Hg 2.66, 2 Cd 2.68
Hg: 0.0000 0.5000 0.5000 [2 per cell]  2 Ga 2.66

energy of formation	11	kJ per mole of atoms

=====

Density of states at the Fermi level for the records above, in order: 8.50 3.18 5.53 1.88 states/eV per cell
Volume for the records above, in order: 360.0 74.7 92.6 150.9 Å³/f.u.